P:
Computed, not measured: CuP3 after structural relaxation at the PBE-GGA level of DFT.

a b c (Å): 3.0741 3.1708 6.0307
angles (deg): 90.00 90.00 90.00
Element x y z (fractional)
Cu: 0.0000 0.0000 0.8249
P: 0.0000 0.5000 0.3253
P: 0.5000 0.5000 0.0196
P: 0.5000 0.0000 0.4969


Q:
Computed, not measured: CuP3 after structural relaxation at the PBE-GGA level of DFT.

a b c (Å): 4.6710 4.6710 2.5450
angles (deg): 90.00 90.00 90.02
Element x y z (fractional)
P: 0.0000 0.5000 0.5000
P: 0.5000 0.0000 0.5000
P: 0.5000 0.5000 0.0000
Cu: 0.0000 0.0000 0.0000


Stability ranking, top and bottom: P is the most stable and Q is the least stable.


P:
Computed, not measured: CuP3 after structural relaxation at the PBE-GGA level of DFT.

a b c (Å): 2.5105 3.3664 6.8655
angles (deg): 90.00 90.00 90.00
Element x y z (fractional)
P: 0.0000 0.5000 0.2503
P: 0.0000 0.0000 0.5000
P: 0.0000 0.5000 0.7497
Cu: 0.0000 0.0000 0.0000


Q:
Computed, not measured: CuP3 after structural relaxation at the PBE-GGA level of DFT.

a b c (Å): 4.5308 4.5308 4.5308
angles (deg): 90.00 90.00 90.00
Element x y z (fractional)
Cu: 0.0000 0.0000 0.0000
P: 0.0000 0.5000 0.0000
P: 0.5000 0.0000 0.0000
P: 0.0000 0.0000 0.5000


Stability ranking, top and bottom: P is the most stable and Q is the least stable.


P:
Computed, not measured: CuPPb3 after structural relaxation at the PBE-GGA level of DFT.

a b c (Å): 5.4562 5.4562 5.4562
angles (deg): 90.00 90.00 90.00
Element x y z (fractional)
Cu: 0.5000 0.5000 0.5000
Pb: 0.5000 0.0000 0.0000
Pb: 0.0000 0.0000 0.5000
Pb: 0.0000 0.5000 0.0000
P: 0.0000 0.0000 0.0000


Q:
Computed, not measured: CuPPb3 after structural relaxation at the PBE-GGA level of DFT.

a b c (Å): 5.1841 5.1841 5.1841
angles (deg): 90.00 90.00 90.00
Element x y z (fractional)
Cu: 0.0000 0.0000 0.0000
P: 0.5000 0.5000 0.5000
Pb: 0.0000 0.0000 0.5000
Pb: 0.5000 0.0000 0.0000
Pb: 0.0000 0.5000 0.0000


Stability ranking, top and bottom: Q is the most stable and P is the least stable.


P:
Computed, not measured: CuP2PbS after structural relaxation at the PBE-GGA level of DFT.

a b c (Å): 5.2321 4.8730 5.2321
angles (deg): 90.00 90.00 90.00
Element x y z (fractional)
Cu: 0.0000 0.5000 0.0000
S: 0.5000 0.5000 0.5000
P: 0.5000 0.0000 0.0000
P: 0.0000 0.0000 0.5000
Pb: 0.0000 0.0000 0.0000


Q:
Computed, not measured: CuP2PbS after structural relaxation at the PBE-GGA level of DFT.

a b c (Å): 5.2595 5.2595 5.2147
angles (deg): 90.00 90.00 90.00
Site moments in Bohr magnetons follow the coordinates.
Element x y z (fractional)
P: 0.0000 0.5000 0.0000  0.41
P: 0.5000 0.0000 0.0000  0.41
Pb: 0.0000 0.0000 0.0000  0.00
S: 0.0000 0.0000 0.5000  0.18
Cu: 0.5000 0.5000 0.5000  0.06


R:
Computed, not measured: CuP2PbS after structural relaxation at the PBE-GGA level of DFT.

a b c (Å): 4.5171 4.5171 5.0647
angles (deg): 90.00 90.00 90.00
Site moments in Bohr magnetons follow the coordinates.
Element x y z (fractional)
S: 0.0000 0.0000 0.5000  0.10
Cu: 0.0000 0.0000 0.0000  0.04
P: 0.0000 0.5000 0.0000  0.14
P: 0.5000 0.0000 0.0000  0.14
Pb: 0.5000 0.5000 0.5000  -0.01


Stability ranking, top and bottom: R is the most stable and P is the least stable.